(1)
Here is an optimized crystal structure of K6Hg2F from Alexandria. Energies are from PBE.

Results
- symmetry = P2_1/c, No. 14
- E (eV/atom) = -1.68
- Fermi-level density of states (states/eV per atom) = 0.6038
- theoretical density (g cm⁻³) = 2.8
- formation energy (no corrections) (eV/atom) = -0.67
- total magnetic moment (μB/f.u.) = 0.00

```
18
Lattice="-5.6820 -5.0362 1.9806 5.1123 -6.6801 -2.3198 3.9904 -0.6428 10.6451" Properties=species:S:1:pos:R:3 pbc="T T T"
K 0.6258 -0.6782 2.9489
K 2.6702 -3.1041 5.4355
K 4.3432 -3.8463 9.8621
K 4.7173 -7.3662 4.4115
K 5.9549 -7.5395 9.0356
K 1.2039 -5.6573 2.1499
K 2.7949 -11.6810 7.3570
K 0.7505 -9.2551 4.8704
K -0.9225 -8.5129 0.4438
K -1.2966 -4.9930 5.8944
K -2.5342 -4.8197 1.2703
K 2.2168 -6.7019 8.1560
Hg 5.7761 -4.6144 6.6528
Hg 0.8445 -3.4100 8.7278
Hg 2.5762 -8.9492 1.5780
Hg -2.3554 -7.7448 3.6531
F -0.2849 -5.8582 -0.1696
F 1.9952 -0.3214 5.3226
```


(2)
Here is an optimized crystal structure of Dy2Tl2Ag3 from Alexandria. Energies are from PBE.

Results
- symmetry = Cmmm, No. 65
- formation enthalpy at 0 K (eV/atom) = -0.132
- E (eV/atom) = -3.34
- Fermi-level density of states (states/eV per atom) = 0.4476
- theoretical density (g cm⁻³) = 10.3
- total magnetic moment (μB/f.u.) = 0.25

```
7
Lattice="-2.1950 2.0818 1.8251 1.3366 -1.3175 3.1104 8.5088 10.2358 -1.4423" Properties=species:S:1:pos:R:3 pbc="T T T"
Dy 7.5899 6.5644 1.6403
Dy 2.2556 2.3539 0.0277
Tl 3.2855 4.2587 2.5134
Tl 4.3649 6.7414 0.9797
Ag 0.5798 1.4352 2.4802
Ag 7.0706 9.5650 1.0130
Ag 0.0000 0.0000 0.0000
```


(3)
Here is an optimized crystal structure of MgAu2Cl from Alexandria. Energies are from PBE.

Results
- symmetry = Pmmm, No. 47
- E (eV/atom) = -2.78
- Fermi-level density of states (states/eV per atom) = 0.3098
- theoretical density (g cm⁻³) = 9.3
- formation energy (no corrections) (eV/atom) = -0.28
- total magnetic moment (μB/f.u.) = 0.00

```
4
Lattice="3.8478 0.0000 0.0000 0.0000 3.8675 0.0000 0.0000 0.0000 5.4422" Properties=species:S:1:pos:R:3 pbc="T T T"
Au 0.0000 0.0000 5.4044
Au 0.0000 0.0000 2.7590
Cl 1.9239 1.9338 1.3606
Mg 1.9239 1.9338 4.0817
```